First-principles (GGA-PBEsol) data for a geometry-optimized CdSi2Pb structure, as listed in Alexandria via LeMat-Bulk.

- energy relative to the elements, uncorrected (meV per atom) = 519
- SG = I-4m2
- DOS at the Fermi energy (states/eV per cell) = 3.590
- energy above the lowest structure with this stoichiometry (meV/atom) = 103

Lattice parameters (Å, degrees): 4.2427 4.2427 9.3675 90.00 90.00 90.00
Last column: nearest neighbours and their distance in Å.
Sites, in units of the cell vectors:
Cd  0.0000  0.0000  0.0000  8 Si 3.00-3.16, 4 Pb 3.16
Cd  0.5000  0.5000  0.5000  8 Si 3.00-3.16, 4 Pb 3.16
Si  0.0000  0.0000  0.5000  4 Cd 3.00, 4 Pb 3.16, 4 Si 3.16
Si  0.0000  0.5000  0.7500  4 Pb 3.00, 4 Cd 3.16, 4 Si 3.16
Si  0.5000  0.0000  0.2500  4 Pb 3.00, 4 Cd 3.16, 4 Si 3.16
Si  0.5000  0.5000  0.0000  4 Cd 3.00, 4 Pb 3.16, 4 Si 3.16
Pb  0.0000  0.5000  0.2500  8 Si 3.00-3.16, 4 Cd 3.16
Pb  0.5000  0.0000  0.7500  8 Si 3.00-3.16, 4 Cd 3.16


First-principles (GGA-PBEsol) data for a geometry-optimized CdSn2Pb structure, as listed in Alexandria via LeMat-Bulk.

- SG = Fm-3m
- DOS at the Fermi energy (states/eV per cell) = 10.223
- calculated formation energy (eV/atom) = 0.083

Lattice parameters (Å, degrees): 7.4817 7.4817 7.4817 90.00 90.00 90.00
Last column: nearest neighbours and their distance in Å.
Sites, in units of the cell vectors:
Cd  0.0000  0.0000  0.0000  8 Sn 3.24
Cd  0.0000  0.5000  0.5000  8 Sn 3.24
Cd  0.5000  0.0000  0.5000  8 Sn 3.24
Cd  0.5000  0.5000  0.0000  8 Sn 3.24
Sn  0.2500  0.2500  0.2500  4 Cd 3.24, 4 Pb 3.24
Sn  0.2500  0.2500  0.7500  4 Cd 3.24, 4 Pb 3.24
Sn  0.2500  0.7500  0.2500  4 Cd 3.24, 4 Pb 3.24
Sn  0.2500  0.7500  0.7500  4 Cd 3.24, 4 Pb 3.24
Sn  0.7500  0.2500  0.2500  4 Cd 3.24, 4 Pb 3.24
Sn  0.7500  0.2500  0.7500  4 Cd 3.24, 4 Pb 3.24
Sn  0.7500  0.7500  0.2500  4 Cd 3.24, 4 Pb 3.24
Sn  0.7500  0.7500  0.7500  4 Cd 3.24, 4 Pb 3.24
Pb  0.0000  0.0000  0.5000  8 Sn 3.24
Pb  0.0000  0.5000  0.0000  8 Sn 3.24
Pb  0.5000  0.0000  0.0000  8 Sn 3.24
Pb  0.5000  0.5000  0.5000  8 Sn 3.24